A geometry-optimized PuCu4Ni2 structure, computed with PBE.

It has space group I4/mmm (No. 139), with a = 6.3105 Å, b = 6.3105 Å, c = 4.8880 Å, α = 90.00°, β = 90.00° and γ = 90.00°. The inequivalent atoms are Pu at (0.0000, 0.0000, 0.0000), Cu at (0.1940, 0.1940, 0.5000) and Ni at (0.0000, 0.5000, 0.2500).

The density of states at the Fermi level is 35.14 states/eV per cell. As for the uncorrected energy: -84.69 eV/cell. As for the formation enthalpy at 0 K: -0.07 eV/f.u. The calculation puts the theoretical density at 10.5 g cm⁻³.